one.
The following is a DFT calculation (GGA-PBE) of a relaxed structure of TmGa3Co3.

Cell: 6.3666 6.3666 6.3666 Å, 90.00 90.00 90.00°
With the nearest neighbours (Å) after each atom.
Element x y z (fractional)
Tm 0.5000 0.5000 0.5000  12 Co 3.56, 12 Ga 3.56
Tm 0.0000 0.0000 0.0000  12 Co 3.56, 12 Ga 3.56
Co 0.2500 0.0000 0.5000  4 Ga 2.25
Co 0.0000 0.5000 0.2500  4 Ga 2.25
Co 0.5000 0.7500 0.0000  4 Ga 2.25
Co 0.7500 0.0000 0.5000  4 Ga 2.25
Co 0.0000 0.5000 0.7500  4 Ga 2.25
Co 0.5000 0.2500 0.0000  4 Ga 2.25
Ga 0.0000 0.2500 0.5000  4 Co 2.25
Ga 0.0000 0.7500 0.5000  4 Co 2.25
Ga 0.5000 0.0000 0.7500  4 Co 2.25
Ga 0.7500 0.5000 0.0000  4 Co 2.25
Ga 0.5000 0.0000 0.2500  4 Co 2.25
Ga 0.2500 0.5000 0.0000  4 Co 2.25

Magnetic moment ... 0.00 μB/cell
Crystal system ... cubic



two.
The following is a DFT calculation (GGA-PBE) of a relaxed structure of TmGa3Co3.

Cell: 7.9735 7.9735 7.9735 Å, 60.00 60.00 60.00°
With the nearest neighbours (Å) after each atom.
Element x y z (fractional)
Tm 0.2500 0.2500 0.2500  12 Ga 4.11, 12 Co 4.17
Tm 0.7500 0.7500 0.7500  12 Ga 4.11, 12 Co 4.17
Ga 0.3380 0.6620 0.3380  1 Co 2.21
Ga 0.3380 0.6620 0.6620  1 Co 2.21
Ga 0.3380 0.3380 0.6620  1 Co 2.21
Ga 0.6620 0.3380 0.6620  1 Co 2.21
Ga 0.6620 0.3380 0.3380  1 Co 2.21
Ga 0.6620 0.6620 0.3380  1 Co 2.21
Co 0.1417 0.8583 0.8583  1 Ga 2.21, 4 Co 2.26
Co 0.1417 0.8583 0.1417  1 Ga 2.21, 4 Co 2.26
Co 0.1417 0.1417 0.8583  1 Ga 2.21, 4 Co 2.26
Co 0.8583 0.1417 0.8583  1 Ga 2.21, 4 Co 2.26
Co 0.8583 0.1417 0.1417  1 Ga 2.21, 4 Co 2.26
Co 0.8583 0.8583 0.1417  1 Ga 2.21, 4 Co 2.26

Magnetic moment ... 9.44 μB/cell
Crystal system ... cubic



Stability, highest: one



one.
The following is a DFT calculation (GGA-PBE) of a relaxed structure of TmGaCo4.

Cell: 4.8657 4.8657 4.8657 Å, 60.00 60.00 60.00°
With the nearest neighbours (Å) after each atom.
Element x y z (fractional)
Tm 0.0000 0.0000 0.0000  12 Co 2.85, 4 Ga 2.98
Co 0.6241 0.6241 0.1277  6 Co 2.42-2.45
Co 0.6241 0.1277 0.6241  6 Co 2.42-2.45
Co 0.6241 0.6241 0.6241  6 Co 2.42-2.45
Co 0.1277 0.6241 0.6241  6 Co 2.42-2.45
Ga 0.2500 0.2500 0.2500  12 Co 2.85, 4 Tm 2.98

Magnetic moment ... 4.26 μB/cell
Crystal system ... cubic



two.
The following is a DFT calculation (GGA-PBE) of a relaxed structure of TmGaCo4.

Cell: 4.0771 5.5479 7.6812 Å, 90.00 105.39 90.00°
With the nearest neighbours (Å) after each atom.
Element x y z (fractional)
Tm 0.1230 0.2500 0.2460  7 Co 2.67-2.93
Tm 0.8770 0.7500 0.7540  7 Co 2.67-2.93
Ga 0.2227 0.7500 0.4454  7 Co 2.42-2.52
Ga 0.7773 0.2500 0.5546  7 Co 2.42-2.52
Co 0.5000 0.5000 0.0000  6 Co 2.34-2.62
Co 0.5000 0.0000 0.0000  6 Co 2.34-2.62
Co 0.6569 0.9524 0.3137  2 Co 2.25-2.34, 1 Ga 2.43
Co 0.3431 0.0476 0.6863  2 Co 2.25-2.34, 1 Ga 2.43
Co 0.3431 0.4524 0.6863  2 Co 2.25-2.34, 1 Ga 2.43
Co 0.6569 0.5476 0.3137  2 Co 2.25-2.34, 1 Ga 2.43
Co 0.0596 0.7500 0.1192  1 Ga 2.42, 4 Co 2.62, 1 Tm 2.70
Co 0.9404 0.2500 0.8808  1 Ga 2.42, 4 Co 2.62, 1 Tm 2.70

Magnetic moment ... 8.53 μB/cell
Crystal system ... orthorhombic



Stability, highest: one